La2CoAs2IrO2: optimized geometry, PBE+U.

Lattice parameters (Å, degrees): 4.1228 4.1228 8.4392 90.00 90.00 90.00
Closest atoms and distances in Å follow each position.
Atoms (fractional coordinates):
As  0.0000  0.5000  0.1504  2 Co 2.42, 2 Ir 2.42
As  0.5000  0.0000  0.8496  2 Co 2.42, 2 Ir 2.42
Co  0.0000  0.0000  0.0000  4 As 2.42
Ir  0.5000  0.5000  0.0000  4 As 2.42
La  0.5000  0.0000  0.3574  4 O 2.39
La  0.0000  0.5000  0.6426  4 O 2.39
O  0.0000  0.0000  0.5000  4 La 2.39
O  0.5000  0.5000  0.5000  4 La 2.39

## Properties
DFT total energy in eV per formula unit: -57.29
Symmetry: P-4m2, No. 115
Total magnetic moment in μB/atom: 0.120